The following is a PBE calculation of a relaxed structure of BaBiTe2, from Alexandria via LeMat-Bulk.

Results
The value obtained for the formation energy from raw total energies is -791 meV per atom. The density of states at the Fermi level comes out at 5.356 states/eV per cell. The crystal system is orthorhombic.

Cell: 6.9046 5.6699 18.7492 Å, 90.00 90.00 90.00°
Fractional positions:
Ba: 0.2330 0.2500 0.0643
Ba: 0.2670 0.7500 0.5643
Ba: 0.7330 0.2500 0.4357
Ba: 0.7670 0.7500 0.9357
Bi: 0.2199 0.2500 0.8536
Bi: 0.2801 0.7500 0.3536
Bi: 0.7199 0.2500 0.6464
Bi: 0.7801 0.7500 0.1464
Te: 0.1957 0.7500 0.1711
Te: 0.2370 0.2500 0.4256
Te: 0.2630 0.7500 0.9256
Te: 0.3043 0.2500 0.6711
Te: 0.6957 0.7500 0.3289
Te: 0.7370 0.2500 0.0744
Te: 0.7630 0.7500 0.5744
Te: 0.8043 0.2500 0.8289

=====

The following is a PBE calculation of a relaxed structure of Ba3BiTe, from Alexandria via LeMat-Bulk.

Results
The value obtained for the formation energy from raw total energies is -1108 meV per atom. The density of states at the Fermi level comes out at 3.898 states/eV per cell. The crystal system is monoclinic.

Cell: 10.1972 4.8925 10.3722 Å, 90.00 102.78 90.00°
Fractional positions:
Ba: 0.0828 0.2500 0.3246
Ba: 0.2906 0.2500 0.0086
Ba: 0.4044 0.7500 0.6369
Ba: 0.5956 0.2500 0.3631
Ba: 0.7094 0.7500 0.9914
Ba: 0.9172 0.7500 0.6754
Bi: 0.3286 0.7500 0.2695
Bi: 0.6714 0.2500 0.7305
Te: 0.1645 0.2500 0.6690
Te: 0.8355 0.7500 0.3310

=====

The following is a PBE calculation of a relaxed structure of Ba2BiTe4, from Alexandria via LeMat-Bulk.

Results
The value obtained for the formation energy from raw total energies is -1025 meV per atom. The density of states at the Fermi level comes out at 3.431 states/eV per cell. The crystal system is monoclinic.

Cell: 6.8083 6.8083 9.6762 Å, 112.17 112.17 40.83°
Fractional positions:
Ba: 0.1656 0.1656 0.1619
Ba: 0.8344 0.8344 0.8381
Bi: 0.5000 0.5000 0.5000
Te: 0.1715 0.1715 0.5327
Te: 0.4419 0.4419 0.1468
Te: 0.5581 0.5581 0.8532
Te: 0.8285 0.8285 0.4673

=====

The following is a PBE calculation of a relaxed structure of BaBiTe2, from Alexandria via LeMat-Bulk.

Results
The value obtained for the formation energy from raw total energies is -651 meV per atom. The density of states at the Fermi level comes out at 5.785 states/eV per cell. The crystal system is tetragonal.

Cell: 10.0128 10.0128 10.0128 Å, 139.99 139.99 57.87°
Fractional positions:
Ba: 0.0000 0.0000 0.0000
Ba: 0.7500 0.2500 0.5000
Bi: 0.2500 0.7500 0.5000
Bi: 0.5000 0.5000 0.0000
Te: 0.1695 0.6250 0.0445
Te: 0.3750 0.4195 0.5445
Te: 0.5805 0.1250 0.9555
Te: 0.8750 0.8305 0.4555